[1]
TiGa2TcW | meta-GGA SCAN | single point on PBEsol structure

Properties
E_tot   -147.66 eV per formula unit
Fermi-level density of states   2.4 states/eV/cell
ΔE_f   1.162 eV per atom

Cell lengths 4.5506, 4.7680, 4.7680 Å; angles 90.00, 90.00, 90.00 degrees
Closest atoms and distances in Å follow each position.
Atoms (fractional coordinates):
Tc1 0.5000 0.5000 0.5000  8 Ga 3.30, 4 Ti 3.37
Ti1 0.5000 0.0000 0.0000  2 W 2.28
Ga1 0.0000 0.5000 0.0000  2 W 2.38
Ga2 0.0000 0.0000 0.5000  2 W 2.38
W1 0.0000 0.0000 0.0000  2 Ti 2.28, 4 Ga 2.38

[2]
TlGa3Tc | meta-GGA SCAN | single point on PBEsol structure

Properties
E_tot   -156.31 eV per formula unit
Fermi-level density of states   2.4 states/eV/cell
Energy above the lowest structure with this stoichiometry   0 meV per atom
ΔE_f   0.030 eV per atom

Cell lengths 4.8189, 4.8189, 4.8189 Å; angles 90.00, 90.00, 90.00 degrees
Closest atoms and distances in Å follow each position.
Atoms (fractional coordinates):
Ga1 0.0000 0.0000 0.5000  2 Tc 2.41
Ga2 0.5000 0.0000 0.0000  2 Tc 2.41
Ga3 0.0000 0.5000 0.0000  2 Tc 2.41
Tl1 0.5000 0.5000 0.5000  12 Ga 3.41
Tc1 0.0000 0.0000 0.0000  6 Ga 2.41